## Tl3InHg2Pb3 (PBE)

Data for crystalline Tl3InHg2Pb3 at its relaxed geometry.

Geometry as CIF:
```
data_Tl3InHg2Pb3
_chemical_formula_sum 'Tl3 In1 Hg2 Pb3'
_space_group_name_H-M_alt 'P -6 2 m'
_space_group_IT_number 189
_space_group_name_Hall 'P -6 -2'
_cell_length_a 9.5943
_cell_length_b 9.5943
_cell_length_c 3.3260
_cell_angle_alpha 90.00
_cell_angle_beta 90.00
_cell_angle_gamma 120.00
loop_
_atom_site_label
_atom_site_type_symbol
_atom_site_fract_x
_atom_site_fract_y
_atom_site_fract_z
Tl1 Tl 0.0000 0.6867 0.0000
In1 In 0.0000 0.0000 0.5000
Hg1 Hg 0.3333 0.6667 0.0000
Pb1 Pb 0.0000 0.3546 0.5000
```

Calculated values
* energy: -21.390 eV for the cell shown
* V: 265.1 Å³/f.u.
* total moment: 0.00 Bohr magnetons per cell
* energy relative to the elements: 0.02 eV/atom

***

## LiPrHgBi (PBE)

Data for crystalline LiPrHgBi at its relaxed geometry.

Geometry as CIF:
```
data_LiPrHgBi
_chemical_formula_sum 'Li4 Pr4 Hg4 Bi4'
_space_group_name_H-M_alt 'F -4 3 m'
_space_group_IT_number 216
_space_group_name_Hall 'F -4 2 3'
_cell_length_a 7.5705
_cell_length_b 7.5705
_cell_length_c 7.5705
_cell_angle_alpha 90.00
_cell_angle_beta 90.00
_cell_angle_gamma 90.00
loop_
_atom_site_label
_atom_site_type_symbol
_atom_site_fract_x
_atom_site_fract_y
_atom_site_fract_z
Li1 Li 0.0000 0.0000 0.0000
Pr1 Pr 0.0000 0.0000 0.5000
Hg1 Hg 0.2500 0.2500 0.7500
Bi1 Bi 0.2500 0.2500 0.2500
```

Calculated values
* energy: -51.513 eV for the cell shown
* V: 108.5 Å³/f.u.
* total moment: 0.00 Bohr magnetons per cell
* energy relative to the elements: -0.50 eV/atom

***

## SrCo2Sb (PBE)

Data for crystalline SrCo2Sb at its relaxed geometry.

Geometry as CIF:
```
data_SrCo2Sb
_chemical_formula_sum 'Sr2 Co4 Sb2'
_space_group_name_H-M_alt 'I m m 2'
_space_group_IT_number 44
_space_group_name_Hall 'I 2 -2'
_cell_length_a 4.0669
_cell_length_b 5.7901
_cell_length_c 7.7543
_cell_angle_alpha 90.00
_cell_angle_beta 90.00
_cell_angle_gamma 90.00
loop_
_atom_site_label
_atom_site_type_symbol
_atom_site_fract_x
_atom_site_fract_y
_atom_site_fract_z
Sr1 Sr 0.0000 0.0000 0.0000
Co1 Co 0.0000 0.0000 0.5213
Co2 Co 0.0000 0.5000 0.1593
Sb1 Sb 0.0000 0.5000 0.8173
```

Calculated values
* energy: -38.114 eV for the cell shown
* V: 91.3 Å³/f.u.
* total moment: 5.59 Bohr magnetons per cell
* E_form (uncorrected): 0.24 eV/atom

***

## In9Ag2Sn (PBE)

Data for crystalline In9Ag2Sn at its relaxed geometry.

Geometry as CIF:
```
data_In9Ag2Sn
_chemical_formula_sum 'In36 Ag8 Sn4'
_space_group_name_H-M_alt 'I 41/a m d'
_space_group_IT_number 141
_cell_length_a 13.3260
_cell_length_b 13.3260
_cell_length_c 7.0008
_cell_angle_alpha 90.00
_cell_angle_beta 90.00
_cell_angle_gamma 90.00
loop_
_space_group_symop_operation_xyz
'x,y,z'
'-x,-y,-z'
'-y+1/4,x+3/4,z+1/4'
'y+1/4,-x+3/4,-z+1/4'
'-x+1/2,-y,z+1/2'
'x+1/2,y,-z+1/2'
'y+1/4,-x+1/4,z+3/4'
'-y+1/4,x+1/4,-z+3/4'
'x,-y,-z'
'-x,y,z'
'-y+1/4,-x+1/4,-z+3/4'
'y+1/4,x+1/4,z+3/4'
'-x+1/2,y,-z+1/2'
'x+1/2,-y,z+1/2'
'y+1/4,x+3/4,-z+1/4'
'-y+1/4,-x+3/4,z+1/4'
'x+1/2,y+1/2,z+1/2'
'-x+1/2,-y+1/2,-z+1/2'
'-y+3/4,x+1/4,z+3/4'
'y+3/4,-x+1/4,-z+3/4'
'-x,-y+1/2,z'
'x,y+1/2,-z'
'y+3/4,-x+3/4,z+1/4'
'-y+3/4,x+3/4,-z+1/4'
'x+1/2,-y+1/2,-z+1/2'
'-x+1/2,y+1/2,z+1/2'
'-y+3/4,-x+3/4,-z+1/4'
'y+3/4,x+3/4,z+1/4'
'-x,y+1/2,-z'
'x,-y+1/2,z'
'y+3/4,x+1/4,-z+3/4'
'-y+3/4,-x+1/4,z+3/4'
loop_
_atom_site_label
_atom_site_type_symbol
_atom_site_fract_x
_atom_site_fract_y
_atom_site_fract_z
In1 In 0.0000 0.2500 0.3750
In2 In 0.1218 0.0821 0.1428
Ag1 Ag 0.0000 0.0000 0.5000
Sn1 Sn 0.0000 0.2500 0.8750
```

Calculated values
* energy: -134.860 eV for the cell shown
* V: 310.8 Å³/f.u.
* total moment: 0.00 Bohr magnetons per cell
* energy relative to the elements: 0.05 eV/atom

***

## CsK2LiBr4 (PBE)

Data for crystalline CsK2LiBr4 at its relaxed geometry.

Geometry as CIF:
```
data_CsK2LiBr4
_chemical_formula_sum 'Cs4 K8 Li4 Br16'
_space_group_name_H-M_alt 'C m c m'
_space_group_IT_number 63
_space_group_name_Hall '-C 2c 2'
_cell_length_a 4.6429
_cell_length_b 15.9102
_cell_length_c 16.3181
_cell_angle_alpha 90.00
_cell_angle_beta 90.00
_cell_angle_gamma 90.00
loop_
_atom_site_label
_atom_site_type_symbol
_atom_site_fract_x
_atom_site_fract_y
_atom_site_fract_z
Cs1 Cs 0.0000 0.1043 0.2500
K1 K 0.0000 0.3647 0.0503
Li1 Li 0.0000 0.1700 0.7500
Br1 Br 0.0000 0.0000 0.0000
Br2 Br 0.0000 0.2644 0.6261
Br3 Br 0.0000 0.4162 0.2500
```

Calculated values
* energy: -101.057 eV for the cell shown
* V: 301.4 Å³/f.u.
* total moment: 0.70 Bohr magnetons per cell
* E_form (uncorrected): -1.70 eV/atom

***

## BeTe3F (PBE)

Data for crystalline BeTe3F at its relaxed geometry.

Geometry as CIF:
```
data_BeTe3F
_chemical_formula_sum 'Be1 Te3 F1'
_space_group_name_H-M_alt 'P m -3 m'
_space_group_IT_number 221
_space_group_name_Hall '-P 4 2 3'
_cell_length_a 4.8608
_cell_length_b 4.8608
_cell_length_c 4.8608
_cell_angle_alpha 90.00
_cell_angle_beta 90.00
_cell_angle_gamma 90.00
loop_
_atom_site_label
_atom_site_type_symbol
_atom_site_fract_x
_atom_site_fract_y
_atom_site_fract_z
Be1 Be 0.0000 0.0000 0.0000
Te1 Te 0.0000 0.0000 0.5000
F1 F 0.5000 0.5000 0.5000
```

Calculated values
* energy: -14.576 eV for the cell shown
* V: 114.8 Å³/f.u.
* E above lowest polymorph: 0 meV/atom
* total moment: 0.00 Bohr magnetons per cell
* E_form (uncorrected): 0.09 eV/atom

***

## Sm4Ho8Th (PBE)

Data for crystalline Sm4Ho8Th at its relaxed geometry.

Geometry as CIF:
```
data_Sm4Ho8Th
_chemical_formula_sum 'Sm12 Ho24 Th3'
_space_group_name_H-M_alt 'R -3 m'
_space_group_IT_number 166
_space_group_name_Hall '-R 3 2"'
_cell_length_a 10.9943
_cell_length_b 10.9943
_cell_length_c 13.4321
_cell_angle_alpha 90.00
_cell_angle_beta 90.00
_cell_angle_gamma 120.00
loop_
_atom_site_label
_atom_site_type_symbol
_atom_site_fract_x
_atom_site_fract_y
_atom_site_fract_z
Sm1 Sm 0.0000 0.0000 0.0000
Sm2 Sm 0.0000 0.5000 0.0000
Ho1 Ho 0.0000 0.0000 0.2407
Ho2 Ho 0.0120 0.5060 0.7465
Th1 Th 0.0000 0.0000 0.5000
```

Calculated values
* energy: -168.596 eV for the cell shown
* V: 468.7 Å³/f.u.
* total moment: 4.15 Bohr magnetons per cell
* energy relative to the elements: 0.52 eV/atom

***

## LiPm2NiH6 (PBE)

Data for crystalline LiPm2NiH6 at its relaxed geometry.

Geometry as CIF:
```
data_LiPm2NiH6
_chemical_formula_sum 'Li1 Pm2 Ni1 H6'
_space_group_name_H-M_alt 'P -3 m 1'
_space_group_IT_number 164
_space_group_name_Hall '-P 3 2"'
_cell_length_a 4.9677
_cell_length_b 4.9677
_cell_length_c 4.6289
_cell_angle_alpha 90.00
_cell_angle_beta 90.00
_cell_angle_gamma 120.00
loop_
_atom_site_label
_atom_site_type_symbol
_atom_site_fract_x
_atom_site_fract_y
_atom_site_fract_z
Li1 Li 0.0000 0.0000 0.0000
Pm1 Pm 0.3333 0.6667 0.7468
Ni1 Ni 0.0000 0.0000 0.5000
H1 H 0.1634 0.3268 0.2722
```

Calculated values
* energy: -41.092 eV for the cell shown
* V: 98.9 Å³/f.u.
* total moment: 0.00 Bohr magnetons per cell

***

## Zr2InSb (PBE)

Data for crystalline Zr2InSb at its relaxed geometry.

Geometry as CIF:
```
data_Zr2InSb
_chemical_formula_sum 'Zr2 In1 Sb1'
_space_group_name_H-M_alt 'P m m m'
_space_group_IT_number 47
_space_group_name_Hall '-P 2 2'
_cell_length_a 4.2257
_cell_length_b 4.3056
_cell_length_c 4.9726
_cell_angle_alpha 90.00
_cell_angle_beta 90.00
_cell_angle_gamma 90.00
loop_
_atom_site_label
_atom_site_type_symbol
_atom_site_fract_x
_atom_site_fract_y
_atom_site_fract_z
Zr1 Zr 0.0000 0.0000 0.0000
Zr2 Zr 0.5000 0.0000 0.5000
In1 In 0.0000 0.5000 0.5000
Sb1 Sb 0.5000 0.5000 0.0000
```

Calculated values
* energy: -25.421 eV for the cell shown
* V: 90.5 Å³/f.u.
* E above lowest polymorph: 20 meV/atom
* total moment: 0.00 Bohr magnetons per cell
* E_form (uncorrected): -0.37 eV/atom

***

## K2TaCuF6 (PBE)

Data for crystalline K2TaCuF6 at its relaxed geometry.

Geometry as CIF:
```
data_K2TaCuF6
_chemical_formula_sum 'K2 Ta1 Cu1 F6'
_space_group_name_H-M_alt 'P -1'
_space_group_IT_number 2
_space_group_name_Hall '-P 1'
_cell_length_a 6.0321
_cell_length_b 6.1930
_cell_length_c 6.2086
_cell_angle_alpha 111.42
_cell_angle_beta 102.62
_cell_angle_gamma 109.51
loop_
_atom_site_label
_atom_site_type_symbol
_atom_site_fract_x
_atom_site_fract_y
_atom_site_fract_z
K1 K 0.2221 0.4969 0.2762
Ta1 Ta 0.5000 0.0000 0.0000
Cu1 Cu 0.0000 0.0000 0.5000
F1 F 0.1577 0.8532 0.6595
F2 F 0.2720 0.6369 0.9335
F3 F 0.3943 0.1574 0.2843
```

Calculated values
* energy: -52.710 eV for the cell shown
* V: 187.6 Å³/f.u.
* total moment: 1.81 Bohr magnetons per cell
* E_form (uncorrected): -2.33 eV/atom

***

## Sr2PaAgPd6 (PBE)

Data for crystalline Sr2PaAgPd6 at its relaxed geometry.

Geometry as CIF:
```
data_Sr2PaAgPd6
_chemical_formula_sum 'Sr8 Pa4 Ag4 Pd24'
_space_group_name_H-M_alt 'F m -3 m'
_space_group_IT_number 225
_space_group_name_Hall '-F 4 2 3'
_cell_length_a 10.1326
_cell_length_b 10.1326
_cell_length_c 10.1326
_cell_angle_alpha 90.00
_cell_angle_beta 90.00
_cell_angle_gamma 90.00
loop_
_atom_site_label
_atom_site_type_symbol
_atom_site_fract_x
_atom_site_fract_y
_atom_site_fract_z
Sr1 Sr 0.2500 0.2500 0.2500
Pa1 Pa 0.0000 0.0000 0.0000
Ag1 Ag 0.0000 0.0000 0.5000
Pd1 Pd 0.0000 0.0000 0.2464
```

Calculated values
* energy: -194.395 eV for the cell shown
* V: 260.1 Å³/f.u.
* total moment: 0.00 Bohr magnetons per cell
* energy relative to the elements: -0.17 eV/atom

***

## PC (PBE)

Data for crystalline PC at its relaxed geometry.

Geometry as CIF:
```
data_PC
_chemical_formula_sum 'P8 C8'
_space_group_name_H-M_alt 'P 4/m'
_space_group_IT_number 83
_space_group_name_Hall '-P 4'
_cell_length_a 8.6499
_cell_length_b 8.6499
_cell_length_c 2.8943
_cell_angle_alpha 90.00
_cell_angle_beta 90.00
_cell_angle_gamma 90.00
loop_
_atom_site_label
_atom_site_type_symbol
_atom_site_fract_x
_atom_site_fract_y
_atom_site_fract_z
P1 P 0.0867 0.3669 0.0000
P2 P 0.2488 0.6313 0.5000
C1 C 0.1195 0.5907 0.0000
C2 C 0.1594 0.2817 0.5000
```

Calculated values
* energy: -108.403 eV for the cell shown
* V: 27.1 Å³/f.u.
* E above lowest polymorph: 229 meV/atom
* total moment: 0.00 Bohr magnetons per cell
* energy relative to the elements: 0.54 eV/atom